# 1
This record from Alexandria describes an optimized crystal structure of Pu2Al3BiAu12. The functional is PBE.

Computed properties:
Final energy   -4.745 eV per atom
Space group   R-3m, No. 166
Crystal system   trigonal
Formation enthalpy at 0 K   -0.1283 eV per atom

```
18
Lattice="10.380 2.063 1.463 6.920 8.007 1.463 6.920 4.028 7.073" Properties=species:S:1:pos:R:3 pbc="T T T"
Pu 15.437 8.986 6.374
Pu 8.784 5.113 3.626
Al 5.190 1.031 0.732
Al 3.460 4.004 0.732
Al 3.460 2.014 3.537
Bi 0.000 0.000 0.000
Au 12.681 7.381 6.967
Au 18.062 10.513 5.657
Au 16.585 11.352 8.052
Au 14.102 6.574 4.663
Au 18.062 8.815 8.052
Au 12.681 9.016 4.663
Au 11.540 6.717 3.033
Au 6.159 3.585 4.343
Au 7.636 2.746 1.948
Au 10.119 7.524 5.337
Au 6.159 5.284 1.948
Au 11.540 5.083 5.337
```

***

# 2
This record from Alexandria describes an optimized crystal structure of Al2SnBiAu. The functional is PBE.

Computed properties:
Final energy   -3.504 eV per atom
Space group   P4/mmm, No. 123
Crystal system   tetragonal
Formation enthalpy at 0 K   0.2254 eV per atom

```
5
Lattice="-2.321 -1.982 -3.710 5.254 -1.496 -2.488 -0.103 -4.210 2.314" Properties=species:S:1:pos:R:3 pbc="T T T"
Al -0.051 -2.105 1.157
Al -1.161 -0.991 -1.855
Au 0.000 0.000 0.000
Bi 2.627 -0.748 -1.244
Sn 1.415 -3.844 -1.942
```

***

# 3
This record from Alexandria describes an optimized crystal structure of Sr2Al4BiAu3. The functional is PBE.

Computed properties:
Final energy   -3.727 eV per atom
Space group   P-4m2, No. 115
Crystal system   tetragonal
Formation enthalpy at 0 K   -0.5221 eV per atom

```
10
Lattice="-0.539 -4.202 1.732 3.741 -1.401 -2.234 6.238 2.784 8.699" Properties=species:S:1:pos:R:3 pbc="T T T"
Sr 1.228 -1.433 2.955
Sr 6.611 1.415 5.493
Al 1.601 -2.802 -0.251
Al 0.000 0.000 0.000
Al 3.797 -0.286 6.537
Al 4.042 0.269 1.911
Bi 4.720 -1.410 4.098
Au 3.119 1.392 4.350
Au 5.224 0.350 8.526
Au 2.616 -0.368 -0.078
```

***

# 4
This record from Alexandria describes an optimized crystal structure of SrAl2BiAu5. The functional is PBE.

Computed properties:
Final energy   -3.538 eV per atom
Space group   P4/mmm, No. 123
Crystal system   tetragonal
Formation enthalpy at 0 K   -0.2670 eV per atom

```
9
Lattice="-4.324 -0.280 -2.188 1.885 -2.971 -3.344 -2.296 -7.668 5.519" Properties=species:S:1:pos:R:3 pbc="T T T"
Sr -1.148 -3.834 2.759
Al -1.789 -3.528 -1.397
Al -2.946 -7.392 1.384
Bi 0.000 0.000 0.000
Au 0.525 -2.879 -0.669
Au -2.579 -1.533 -0.091
Au -0.936 -7.761 2.844
Au -4.041 -6.415 3.422
Au -2.367 -5.460 -0.007
```

***

# 5
This record from Alexandria describes an optimized crystal structure of Sr2Al3BiAu12. The functional is PBE.

Computed properties:
Final energy   -3.356 eV per atom
Space group   R-3m, No. 166
Crystal system   trigonal
Formation enthalpy at 0 K   -0.1448 eV per atom

```
18
Lattice="8.528 -0.082 -0.058 4.140 7.456 -0.058 4.140 2.410 7.056" Properties=species:S:1:pos:R:3 pbc="T T T"
Sr 10.217 5.947 4.218
Sr 6.591 3.836 2.721
Al 4.264 -0.041 -0.029
Al 2.070 3.728 -0.029
Al 2.070 1.205 3.528
Bi 0.000 0.000 0.000
Au 8.095 4.712 6.176
Au 12.642 7.359 2.749
Au 10.615 8.510 6.036
Au 10.421 3.391 2.405
Au 12.642 5.027 6.036
Au 8.095 7.387 2.405
Au 8.712 5.071 0.763
Au 4.166 2.425 4.190
Au 6.193 1.274 0.903
Au 6.387 6.392 4.534
Au 4.166 4.756 0.903
Au 8.712 2.397 4.534
```

***

# 6
This record from Alexandria describes an optimized crystal structure of Al4AuBr. The functional is PBE.

Computed properties:
Final energy   -3.089 eV per atom
Space group   F-43m, No. 216
Crystal system   cubic
Formation energy (no corrections)   232 meV per atom

```
6
Lattice="2.395 -1.645 4.717 -3.090 -2.103 4.089 0.312 -5.396 1.213" Properties=species:S:1:pos:R:3 pbc="T T T"
Al 1.043 -4.254 6.106
Al 0.010 -6.114 4.369
Al -1.677 -4.481 5.795
Al -0.144 -3.439 3.767
Au -0.288 -6.858 7.514
Br 0.000 0.000 0.000
```

***

# 7
This record from Alexandria describes an optimized crystal structure of AlAu2Br. The functional is PBE.

Computed properties:
Final energy   -2.892 eV per atom
Space group   C2/m, No. 12
Crystal system   monoclinic
Formation energy (no corrections)   100 meV per atom
Energy above the most stable polymorph in this dataset   354 meV/atom

```
4
Lattice="-2.008 4.188 4.078 -3.309 -2.226 -1.639 -0.375 -1.686 3.125" Properties=species:S:1:pos:R:3 pbc="T T T"
Au 0.000 0.000 0.000
Au -1.842 -1.956 0.743
Al -1.191 1.251 3.602
Br -2.659 0.981 1.220
```

***

# 8
This record from Alexandria describes an optimized crystal structure of AlAu2Br. The functional is PBE.

Computed properties:
Final energy   -2.657 eV per atom
Space group   P4/mmm, No. 123
Crystal system   tetragonal
Formation energy (no corrections)   335 meV per atom
Energy above the most stable polymorph in this dataset   589 meV/atom

```
4
Lattice="4.781 0.000 0.000 0.000 4.781 0.000 0.000 0.000 3.555" Properties=species:S:1:pos:R:3 pbc="T T T"
Au 0.000 0.000 0.000
Au 2.390 2.390 0.000
Al 0.000 2.390 1.778
Br 2.390 0.000 1.778
```

***

# 9
This record from Alexandria describes an optimized crystal structure of AlAu2Br. The functional is PBE.

Computed properties:
Final energy   -3.203 eV per atom
Space group   Cmmm, No. 65
Crystal system   orthorhombic
Formation energy (no corrections)   -210 meV per atom
Energy above the most stable polymorph in this dataset   44 meV/atom

```
4
Lattice="-0.841 3.237 -0.401 -4.037 -0.632 3.367 1.140 0.925 5.084" Properties=species:S:1:pos:R:3 pbc="T T T"
Au -2.788 0.282 8.134
Au -1.557 0.158 4.542
Al -2.593 1.838 6.138
Br -1.144 1.692 1.913
```

***

# 10
This record from Alexandria describes an optimized crystal structure of AlAu2Br. The functional is PBE.

Computed properties:
Final energy   -3.072 eV per atom
Space group   I-42d, No. 122
Crystal system   tetragonal
Formation energy (no corrections)   -79 meV per atom
Energy above the most stable polymorph in this dataset   175 meV/atom

```
8
Lattice="-0.720 -0.446 6.814 1.028 -6.780 -0.335 4.301 -3.008 3.717" Properties=species:S:1:pos:R:3 pbc="T T T"
Au 0.785 -1.859 4.855
Au 1.597 -5.065 1.862
Au 3.385 -5.255 5.203
Au 3.452 -8.290 8.471
Al 0.154 -3.613 3.239
Al 2.741 -6.701 3.311
Br 0.000 0.000 0.000
Br 1.868 -3.533 6.885
```

***

# 11
This record from Alexandria describes an optimized crystal structure of AlAu2Br. The functional is PBE.

Computed properties:
Final energy   -3.026 eV per atom
Space group   P4/mmm, No. 123
Crystal system   tetragonal
Formation energy (no corrections)   -33 meV per atom
Energy above the most stable polymorph in this dataset   221 meV/atom

```
4
Lattice="-1.257 2.366 1.482 -0.486 -1.786 2.439 7.860 2.190 3.168" Properties=species:S:1:pos:R:3 pbc="T T T"
Au 7.353 2.049 2.964
Au 4.437 1.236 1.789
Al 5.024 1.933 4.337
Br 1.094 0.838 2.753
```

***

# 12
This record from Alexandria describes an optimized crystal structure of AlAuBr. The functional is PBE.

Computed properties:
Final energy   -3.341 eV per atom
Space group   P-1, No. 2
Crystal system   triclinic
Formation energy (no corrections)   -444 meV per atom
Energy above the most stable polymorph in this dataset   0 meV/atom

```
6
Lattice="4.378 0.111 0.037 2.068 4.992 0.043 2.068 0.215 8.510" Properties=species:S:1:pos:R:3 pbc="T T T"
Br 6.396 3.795 7.113
Br 2.118 1.524 1.476
Au 2.083 1.561 5.292
Au 6.430 3.758 3.297
Al 4.305 0.364 5.231
Al 4.208 4.955 3.358
```

***

| no. | DOS at the Fermi energy (states/eV/f.u.) |
| --- | --- |
| 1 | 38.09 |
| 2 | 2.55 |
| 3 | 5.41 |
| 4 | 2.06 |
| 5 | 5.64 |
| 6 | 2.86 |
| 7 | 0.31 |
| 8 | 1.61 |
| 9 | 0.70 |
| 10 | 0.09 |
| 11 | 1.96 |
| 12 | 0.64 |